1.
{
  "formula": "B2Os",
  "functional": "PBEsol",
  "state": "optimized geometry",
  "ef_kj_per_mol_fu": -73,
  "dos_ef_per_ev_atom": 0.180,
  "sg": "No. 59",
  "lattice": [[2.868, 0.000, 0.000], [0.000, 4.675, 0.000], [0.000, 0.000, 4.067]],
  "species": ["B", "B", "B", "B", "Os", "Os"],
  "frac_coords": [[0.250, 0.055, 0.138], [0.250, 0.445, 0.138], [0.750, 0.555, 0.862], [0.750, 0.945, 0.862], [0.250, 0.250, 0.654], [0.750, 0.750, 0.346]]
}

2.
{
  "formula": "BP2Os",
  "functional": "PBEsol",
  "state": "optimized geometry",
  "ef_kj_per_mol_fu": 14,
  "dos_ef_per_ev_atom": 0.583,
  "sg": "No. 122",
  "lattice": [[5.022, 0.000, 0.000], [0.000, 5.022, 0.000], [0.000, 0.000, 9.084]],
  "species": ["B", "B", "B", "B", "P", "P", "P", "P", "P", "P", "P", "P", "Os", "Os", "Os", "Os"],
  "frac_coords": [[0.000, 0.000, 0.000], [0.000, 0.500, 0.250], [0.500, 0.000, 0.750], [0.500, 0.500, 0.500], [0.200, 0.250, 0.125], [0.250, 0.700, 0.375], [0.250, 0.800, 0.875], [0.300, 0.250, 0.625], [0.700, 0.750, 0.625], [0.750, 0.200, 0.875], [0.750, 0.300, 0.375], [0.800, 0.750, 0.125], [0.000, 0.000, 0.500], [0.000, 0.500, 0.750], [0.500, 0.000, 0.250], [0.500, 0.500, 0.000]]
}

3.
{
  "formula": "BP3Os",
  "functional": "PBEsol",
  "state": "optimized geometry",
  "ef_kj_per_mol_fu": 437,
  "dos_ef_per_ev_atom": 0.674,
  "sg": "No. 221",
  "lattice": [[3.946, 0.000, 0.000], [0.000, 3.946, 0.000], [0.000, 0.000, 3.946]],
  "species": ["B", "P", "P", "P", "Os"],
  "frac_coords": [[0.000, 0.000, 0.000], [0.000, 0.000, 0.500], [0.000, 0.500, 0.000], [0.500, 0.000, 0.000], [0.500, 0.500, 0.500]]
}

4.
{
  "formula": "BOsPb2S",
  "functional": "PBEsol",
  "state": "optimized geometry",
  "dos_ef_per_ev_atom": 0.991,
  "formation_energy_uncorrected_ev_per_atom": 1.255,
  "sg": "No. 123",
  "lattice": [[5.149, 0.000, 0.000], [0.000, 5.149, 0.000], [0.000, 0.000, 3.567]],
  "species": ["B", "Os", "Pb", "Pb", "S"],
  "frac_coords": [[0.000, 0.000, 0.000], [0.500, 0.500, 0.500], [0.000, 0.500, 0.000], [0.500, 0.000, 0.000], [0.000, 0.000, 0.500]]
}

5.
{
  "formula": "B3OsPt",
  "functional": "PBEsol",
  "state": "optimized geometry",
  "ef_kj_per_mol_fu": 605,
  "dos_ef_per_ev_atom": 0.385,
  "e_above_lowest_polymorph_ev_per_atom": 0.000,
  "sg": "No. 221",
  "lattice": [[4.023, 0.000, 0.000], [0.000, 4.023, 0.000], [0.000, 0.000, 4.023]],
  "species": ["B", "B", "B", "Os", "Pt"],
  "frac_coords": [[0.000, 0.000, 0.500], [0.000, 0.500, 0.000], [0.500, 0.000, 0.000], [0.000, 0.000, 0.000], [0.500, 0.500, 0.500]]
}

6.
{
  "formula": "B3OsPt",
  "functional": "PBEsol",
  "state": "optimized geometry",
  "ef_kj_per_mol_fu": 891,
  "dos_ef_per_ev_atom": 0.994,
  "e_above_lowest_polymorph_ev_per_atom": 0.591,
  "sg": "No. 221",
  "lattice": [[3.990, 0.000, 0.000], [0.000, 3.990, 0.000], [0.000, 0.000, 3.990]],
  "species": ["B", "B", "B", "Os", "Pt"],
  "frac_coords": [[0.000, 0.000, 0.500], [0.000, 0.500, 0.000], [0.500, 0.000, 0.000], [0.500, 0.500, 0.500], [0.000, 0.000, 0.000]]
}

7.
{
  "formula": "BOsPt3",
  "functional": "PBEsol",
  "state": "optimized geometry",
  "ef_kj_per_mol_fu": 276,
  "dos_ef_per_ev_atom": 1.542,
  "sg": "No. 221",
  "lattice": [[4.118, 0.000, 0.000], [0.000, 4.118, 0.000], [0.000, 0.000, 4.118]],
  "species": ["B", "Os", "Pt", "Pt", "Pt"],
  "frac_coords": [[0.000, 0.000, 0.000], [0.500, 0.500, 0.500], [0.000, 0.000, 0.500], [0.000, 0.500, 0.000], [0.500, 0.000, 0.000]]
}

8.
{
  "formula": "B2OsRh",
  "functional": "PBEsol",
  "state": "optimized geometry",
  "ef_kj_per_mol_fu": 24,
  "dos_ef_per_ev_atom": 0.438,
  "sg": "No. 225",
  "lattice": [[5.384, 0.000, 0.000], [0.000, 5.384, 0.000], [0.000, 0.000, 5.384]],
  "species": ["B", "B", "B", "B", "B", "B", "B", "B", "Os", "Os", "Os", "Os", "Rh", "Rh", "Rh", "Rh"],
  "frac_coords": [[0.250, 0.250, 0.250], [0.250, 0.250, 0.750], [0.250, 0.750, 0.250], [0.250, 0.750, 0.750], [0.750, 0.250, 0.250], [0.750, 0.250, 0.750], [0.750, 0.750, 0.250], [0.750, 0.750, 0.750], [0.000, 0.000, 0.000], [0.000, 0.500, 0.500], [0.500, 0.000, 0.500], [0.500, 0.500, 0.000], [0.000, 0.000, 0.500], [0.000, 0.500, 0.000], [0.500, 0.000, 0.000], [0.500, 0.500, 0.500]]
}